1.
PBE LaIn8, relaxed; crystal system = tetragonal; total DFT energy (no corrections) = -28.2 eV for the cell shown
1.0
-5.099 5.099 2.358
5.099 -5.099 2.358
5.099 5.099 -2.358
La In
1 8
Cartesian
0.000 0.000 0.000
3.478 0.000 0.000
6.719 0.000 0.000
3.318 3.318 0.000
1.781 -1.781 2.358
0.000 3.478 0.000
0.000 6.719 0.000
-1.781 1.781 2.358
1.781 1.781 2.358

2.
PBE La5In, relaxed; crystal system = orthorhombic; energy relative to the lowest polymorph listed for this composition = 30 meV per atom; total DFT energy (no corrections) = -28.2 eV for the cell shown
1.0
5.896 0.000 0.000
0.000 1.877 9.277
0.000 -1.877 9.277
La In
5 1
Cartesian
0.000 0.000 0.000
0.000 0.000 5.854
2.948 0.000 3.562
2.948 0.000 9.998
2.948 0.000 16.053
0.000 0.000 12.144

3.
PBE La8In, relaxed; crystal system = tetragonal; energy relative to the lowest polymorph listed for this composition = 11 meV per atom; total DFT energy (no corrections) = -43.0 eV for the cell shown
1.0
-5.540 5.540 2.553
5.540 -5.540 2.553
5.540 5.540 -2.553
La In
8 1
Cartesian
3.563 0.000 0.000
7.517 0.000 0.000
0.000 3.563 0.000
3.723 3.723 0.000
1.817 -1.817 2.553
-1.817 1.817 2.553
1.817 1.817 2.553
0.000 7.517 0.000
0.000 0.000 0.000

4.
PBE La7In6, relaxed; crystal system = trigonal; total DFT energy (no corrections) = -51.7 eV for the cell shown
1.0
3.348 1.933 10.691
-3.348 1.933 10.691
0.000 -3.866 10.691
La In
7 6
Cartesian
0.000 0.000 0.000
0.000 -1.842 8.154
-1.596 0.921 8.154
-1.596 -0.921 23.918
1.596 0.921 8.154
1.596 -0.921 23.918
0.000 1.842 23.918
0.000 0.000 5.305
0.000 0.000 11.284
0.000 0.000 14.486
0.000 0.000 17.586
0.000 0.000 20.788
0.000 0.000 26.767

5.
PBE LaIn5, relaxed; crystal system = monoclinic; energy relative to the lowest polymorph listed for this composition = 0 meV per atom; total DFT energy (no corrections) = -20.4 eV for the cell shown
1.0
5.726 -2.605 0.000
5.726 2.605 0.000
-3.866 0.000 5.457
La In
1 5
Cartesian
0.000 0.000 0.000
-1.933 0.000 2.728
3.465 0.000 0.487
1.579 0.000 3.152
6.008 0.000 2.305
4.122 0.000 4.969

6.
PBE LaIn5, relaxed; crystal system = tetragonal; energy relative to the lowest polymorph listed for this composition = 143 meV per atom; total DFT energy (no corrections) = -19.5 eV for the cell shown
1.0
3.616 0.000 0.000
0.000 3.616 0.000
0.000 0.000 12.962
La In
1 5
Cartesian
0.000 0.000 0.000
0.000 0.000 4.297
0.000 0.000 8.665
1.808 1.808 2.284
1.808 1.808 6.481
1.808 1.808 10.678

In order of appearance, formation energy = -154; -144; -91; -61; -289; -146 meV/atom.
In order of appearance, calculated density = 7.16; 6.54; 6.50; 6.64; 7.27; 6.98 Mg/m³.
In order of appearance, magnetization = 0.000; 0.000; 0.000; 0.000; 0.000; 0.000 μB/atom.